# MnTlSbF6

Crystalline MnTlSbF6 at its relaxed geometry (PBE with a Hubbard U, the Alexandria database).

The calculation puts the magnetization at 5.0 μB per cell. The value obtained for the total energy is -5.13 eV/atom. Its crystal system is triclinic. Its density of states at the Fermi level is 0.0 states/eV/cell.

Unit cell a=5.9960 b=5.9967 c=5.4939 alpha=90.02 beta=89.96 gamma=59.92
Last column: nearest neighbours and their distance in Å.
Sites, in units of the cell vectors:
Sb 0.3333 0.3334 0.4590  6 F 2.10-2.34
Tl 0.0002 0.9999 0.9841  6 F 2.69-2.96
F 0.9578 0.3498 0.3162  1 Mn 2.11, 1 Sb 2.34
F 0.3509 0.6921 0.3153  1 Mn 2.11, 1 Sb 2.34
F 0.0326 0.5646 0.7007  1 Sb 2.10, 1 Mn 2.23
F 0.6921 0.9569 0.3153  1 Mn 2.11, 1 Sb 2.34
F 0.4027 0.0335 0.7007  1 Sb 2.10, 1 Mn 2.23
F 0.5637 0.4031 0.7007  1 Sb 2.10, 1 Mn 2.23
Mn 0.6665 0.6666 0.5081  6 F 2.11-2.23